No. 1
YTh2ZrP4: optimized geometry, PBE.

a = 4.0122 Å, b = 6.9616 Å, c = 6.9126 Å
α = 109.46°, β = 90.00°, γ = 90.00°
With the nearest neighbours (Å) after each atom.
Fractional positions:
Y: 0.5000 0.5000 0.0000  6 P 2.80
Th: 0.5000 0.0000 0.5000  6 P 2.87
Th: 0.0000 0.5000 0.5000  6 P 2.92
Zr: 0.0000 0.0000 0.0000  6 P 2.74-2.75
P: 0.5000 0.2378 0.2317  2 Zr 2.75, 1 Y 2.80, 3 Th 2.87-2.92
P: 0.5000 0.7622 0.7683  2 Zr 2.75, 1 Y 2.80, 3 Th 2.87-2.92
P: 0.0000 0.2481 0.7638  1 Zr 2.74, 2 Y 2.80, 3 Th 2.87-2.92
P: 0.0000 0.7519 0.2362  1 Zr 2.74, 2 Y 2.80, 3 Th 2.87-2.92

Properties
DFT total energy   -7.935 eV per atom
Fermi-level density of states   2.7 states/eV/cell
Theoretical density   7006 kg/m3
Calculated formation energy   -1.4985 eV per atom
Size of the total moment   0.0000 μB per atom



No. 2
InHgBr2: optimized geometry, PBE.

a = 4.5976 Å, b = 6.7975 Å, c = 4.1791 Å
α = 90.00°, β = 90.00°, γ = 90.00°
With the nearest neighbours (Å) after each atom.
Fractional positions:
Hg: 0.5000 0.0000 0.5000  4 Br 3.11
Br: 0.0000 0.0000 0.0000  4 Hg 3.11
Br: 0.5000 0.5000 0.0000  4 In 3.11
In: 0.0000 0.5000 0.5000  4 Br 3.11

Properties
DFT total energy   -1.932 eV per atom
Fermi-level density of states   1.9 states/eV/cell
Uncorrected formation energy   -0.34 eV per atom
Theoretical density   6042 kg/m3
Size of the total moment   0.0000 μB per atom



No. 3
Pm3Pr2Hg3: optimized geometry, PBE.

a = 3.8482 Å, b = 5.4790 Å, c = 11.8326 Å
α = 103.39°, β = 99.36°, γ = 90.00°
With the nearest neighbours (Å) after each atom.
Fractional positions:
Pm: 0.6190 0.6190 0.2380  6 Hg 3.32-3.35
Pm: 0.3810 0.3810 0.7620  6 Hg 3.32-3.35
Pm: 0.5000 0.0000 0.0000  8 Hg 3.26-3.35
Pr: 0.7317 0.2317 0.4634  2 Hg 3.26, 4 Pr 3.45
Pr: 0.2683 0.7683 0.5366  2 Hg 3.26, 4 Pr 3.45
Hg: 0.1158 0.1158 0.2317  6 Pm 3.26-3.35, 2 Pr 3.26
Hg: 0.0000 0.5000 0.0000  8 Pm 3.32-3.35
Hg: 0.8842 0.8842 0.7683  6 Pm 3.26-3.35, 2 Pr 3.26

Properties
DFT total energy   -3.437 eV per atom
Fermi-level density of states   10.0 states/eV/cell
Theoretical density   9150 kg/m3
Calculated formation energy   -0.3475 eV per atom
Size of the total moment   0.0003 μB per atom



No. 4
La2CeAu4: optimized geometry, PBE.

a = 5.3802 Å, b = 5.3802 Å, c = 8.6174 Å
α = 108.19°, β = 108.19°, γ = 90.00°
With the nearest neighbours (Å) after each atom.
Fractional positions:
La: 0.6256 0.6256 0.2512  1 Au 2.92
La: 0.3744 0.3744 0.7488  1 Au 2.92
Ce: 0.0000 0.0000 0.0000  6 Au 2.69-2.87
Au: 0.8143 0.8143 0.6286  1 Ce 2.87, 1 La 2.92
Au: 0.1857 0.1857 0.3714  1 Ce 2.87, 1 La 2.92
Au: 0.0000 0.5000 0.0000  2 Ce 2.69
Au: 0.5000 0.0000 0.0000  2 Ce 2.69

Properties
DFT total energy   -4.459 eV per atom
Fermi-level density of states   8.4 states/eV/cell
Theoretical density   8946 kg/m3
Calculated formation energy   -0.3303 eV per atom
Size of the total moment   0.0944 μB per atom



No. 5
SiP2O7: optimized geometry, PBE.

a = 7.2334 Å, b = 4.3438 Å, c = 6.3595 Å
α = 76.40°, β = 90.00°, γ = 90.00°
With the nearest neighbours (Å) after each atom.
Fractional positions:
O: 0.4889 0.3479 0.2641  1 P 1.53
O: 0.9889 0.6521 0.2359  1 P 1.53
O: 0.5111 0.6521 0.7359  1 P 1.53
O: 0.0111 0.3479 0.7641  1 P 1.53
O: 0.7917 0.2639 0.0919  1 P 1.51
O: 0.2918 0.7361 0.4081  1 P 1.51
O: 0.2082 0.7361 0.9081  1 P 1.51
O: 0.7083 0.2639 0.5919  1 P 1.51
O: 0.6428 0.8087 0.3597  1 P 1.53
O: 0.1428 0.1913 0.1403  1 P 1.53
O: 0.3572 0.1913 0.6403  1 P 1.53
O: 0.8572 0.8087 0.8597  1 P 1.53
O: 0.5000 0.0000 0.0000  2 P 1.59
O: 0.0000 0.0000 0.5000  2 P 1.59
P: 0.6116 0.1118 0.1835  4 O 1.51-1.59
P: 0.1116 0.8882 0.3165  4 O 1.51-1.59
P: 0.3884 0.8882 0.8165  4 O 1.51-1.59
P: 0.8884 0.1118 0.6835  4 O 1.51-1.59
Si: 0.5000 0.5000 0.5000  6 O 1.76-1.84
Si: 0.0000 0.5000 0.0000  6 O 1.76-1.84

Properties
DFT total energy   -7.300 eV per atom
Fermi-level density of states   0.0 states/eV/cell
Uncorrected formation energy   -2.21 eV per atom
Theoretical density   3455 kg/m3
Size of the total moment   0.0000 μB per atom



No. 6
ZrCdIn2: optimized geometry, PBE.

a = 5.5488 Å, b = 5.5488 Å, c = 3.1574 Å
α = 89.98°, β = 89.98°, γ = 110.42°
With the nearest neighbours (Å) after each atom.
Fractional positions:
Cd: 0.0000 0.5000 0.5000  2 Cd 3.16, 2 Zr 3.17, 8 In 3.19
In: 0.0000 0.0000 0.0000  4 In 3.16-3.17, 4 Cd 3.19, 4 Zr 3.19
In: 0.5000 0.5000 0.0000  4 In 3.16-3.17, 4 Zr 3.19, 4 Cd 3.19
Zr: 0.5000 0.0000 0.5000  2 Zr 3.16, 2 Cd 3.17, 8 In 3.19

Properties
DFT total energy   -3.886 eV per atom
Fermi-level density of states   2.0 states/eV/cell
Theoretical density   7897 kg/m3
Calculated formation energy   -0.1508 eV per atom
Size of the total moment   0.0000 μB per atom



No. 7
Ce2LuC: optimized geometry, PBE.

a = 3.5141 Å, b = 3.5141 Å, c = 9.4775 Å
α = 79.32°, β = 79.32°, γ = 60.00°
With the nearest neighbours (Å) after each atom.
Fractional positions:
C: 0.0000 0.0000 0.0000  6 Ce 2.50
Lu: 0.5000 0.5000 0.5000  6 Lu 3.51, 6 Ce 3.77
Ce: 0.2810 0.2810 0.1571  3 C 2.50
Ce: 0.7190 0.7190 0.8429  3 C 2.50

Properties
DFT total energy   -6.427 eV per atom
Fermi-level density of states   8.7 states/eV/cell
Theoretical density   7836 kg/m3
Calculated formation energy   -0.0234 eV per atom
Size of the total moment   0.4944 μB per atom



No. 8
K2SrTaSi: optimized geometry, PBE.

a = 6.0304 Å, b = 5.3928 Å, c = 6.0304 Å
α = 90.00°, β = 90.00°, γ = 90.00°
With the nearest neighbours (Å) after each atom.
Fractional positions:
Sr: 0.0000 0.0000 0.0000  2 Ta 2.70, 4 K 3.02
K: 0.0000 0.0000 0.5000  2 Sr 3.02
K: 0.5000 0.0000 0.0000  2 Sr 3.02
Si: 0.5000 0.5000 0.5000  8 K 4.04, 4 Ta 4.26
Ta: 0.0000 0.5000 0.0000  2 Sr 2.70

Properties
DFT total energy   -2.205 eV per atom
Fermi-level density of states   6.4 states/eV/cell
Uncorrected formation energy   2.03 eV per atom
Theoretical density   3174 kg/m3
Size of the total moment   0.3380 μB per atom



No. 9
MnZn8N6: optimized geometry, PBE.

a = 5.5223 Å, b = 5.5223 Å, c = 14.7364 Å
α = 90.00°, β = 90.00°, γ = 120.00°
With the nearest neighbours (Å) after each atom.
Fractional positions:
Mn: 0.0000 0.0000 0.4609  4 N 1.79-1.80
Mn: 0.0000 0.0000 0.9609  4 N 1.79-1.80
Zn: 0.7047 0.7047 0.2865  3 N 2.05-2.24
Zn: 0.6701 0.6701 0.6440  3 N 2.03-2.10
Zn: 0.3299 0.3299 0.1440  3 N 2.03-2.10
Zn: 0.2953 0.2953 0.7865  3 N 2.05-2.24
Zn: 0.6667 0.3333 0.9554  3 N 1.96
Zn: 0.6667 0.3333 0.4554  3 N 1.96
Zn: 0.2953 0.0000 0.2865  3 N 2.05-2.24
Zn: 0.3299 0.0000 0.6440  3 N 2.03-2.10
Zn: 0.6701 0.0000 0.1440  3 N 2.03-2.10
Zn: 0.0000 0.7047 0.7865  3 N 2.05-2.24
Zn: 0.7047 0.0000 0.7865  3 N 2.05-2.24
Zn: 0.0000 0.6701 0.1440  3 N 2.03-2.10
Zn: 0.3333 0.6667 0.4554  3 N 1.96
Zn: 0.3333 0.6667 0.9554  3 N 1.96
Zn: 0.0000 0.3299 0.6440  3 N 2.03-2.10
Zn: 0.0000 0.2953 0.2865  3 N 2.05-2.24
N: 0.6897 0.6897 0.4252  1 Mn 1.79, 2 Zn 1.96
N: 0.3103 0.3103 0.9252  1 Mn 1.79, 2 Zn 1.96
N: 0.6667 0.3333 0.7120  6 Zn 2.10-2.24
N: 0.0000 0.0000 0.5831  1 Mn 1.80
N: 0.0000 0.0000 0.0831  1 Mn 1.80
N: 0.6667 0.3333 0.2120  6 Zn 2.10-2.24
N: 0.3103 0.0000 0.4252  1 Mn 1.79, 2 Zn 1.96
N: 0.0000 0.6897 0.9252  1 Mn 1.79, 2 Zn 1.96
N: 0.6897 0.0000 0.9252  1 Mn 1.79, 2 Zn 1.96
N: 0.3333 0.6667 0.2120  6 Zn 2.10-2.24
N: 0.3333 0.6667 0.7120  6 Zn 2.10-2.24
N: 0.0000 0.3103 0.4252  1 Mn 1.79, 2 Zn 1.96

Properties
DFT total energy   -4.443 eV per atom
Fermi-level density of states   9.0 states/eV/cell
Uncorrected formation energy   0.18 eV per atom
Theoretical density   5651 kg/m3
Size of the total moment   0.0975 μB per atom



No. 10
Y2ErSb: optimized geometry, PBE.

a = 4.1018 Å, b = 4.1018 Å, c = 6.8275 Å
α = 90.00°, β = 90.00°, γ = 90.00°
With the nearest neighbours (Å) after each atom.
Fractional positions:
Y: 0.0000 0.0000 0.7656  1 Y 3.20, 4 Sb 3.31, 4 Er 3.42
Y: 0.0000 0.0000 0.2344  1 Y 3.20, 4 Sb 3.31, 4 Er 3.42
Sb: 0.5000 0.5000 0.0000  8 Y 3.31, 2 Er 3.41
Er: 0.5000 0.5000 0.5000  2 Sb 3.41, 8 Y 3.42

Properties
DFT total energy   -5.893 eV per atom
Fermi-level density of states   4.9 states/eV/cell
Uncorrected formation energy   -0.49 eV per atom
Theoretical density   6748 kg/m3
Size of the total moment   0.0001 μB per atom



No. 11
Sc2PaCd: optimized geometry, PBE.

a = 4.2063 Å, b = 4.7248 Å, c = 4.7248 Å
α = 90.00°, β = 90.00°, γ = 90.00°
With the nearest neighbours (Å) after each atom.
Fractional positions:
Sc: 0.0000 0.0000 0.5000  4 Cd 3.16, 4 Pa 3.16, 4 Sc 3.34
Sc: 0.0000 0.5000 0.0000  4 Cd 3.16, 4 Pa 3.16, 4 Sc 3.34
Pa: 0.5000 0.5000 0.5000  8 Sc 3.16, 4 Cd 3.34
Cd: 0.5000 0.0000 0.0000  8 Sc 3.16, 4 Pa 3.34

Properties
DFT total energy   -5.654 eV per atom
Fermi-level density of states   7.9 states/eV/cell
Theoretical density   7663 kg/m3
Calculated formation energy   0.1147 eV per atom
Size of the total moment   0.0000 μB per atom



No. 12
TbThCuTc: optimized geometry, PBE.

a = 4.9733 Å, b = 4.9733 Å, c = 4.9733 Å
α = 60.00°, β = 60.00°, γ = 60.00°
With the nearest neighbours (Å) after each atom.
Fractional positions:
Cu: 0.2500 0.2500 0.2500  4 Tb 3.05, 4 Th 3.05
Tb: 0.0000 0.0000 0.0000  4 Tc 3.05, 4 Cu 3.05
Tc: 0.7500 0.7500 0.7500  4 Tb 3.05, 4 Th 3.05
Th: 0.5000 0.5000 0.5000  4 Tc 3.05, 4 Cu 3.05

Properties
DFT total energy   -6.745 eV per atom
Fermi-level density of states   2.0 states/eV/cell
Theoretical density   10548 kg/m3
Calculated formation energy   -0.1171 eV per atom
Size of the total moment   0.0000 μB per atom